No. 1
An optimized crystal structure of GeS3N. Source: Alexandria, functional PBE.

Lattice parameters (Å, degrees): 4.2264 4.2264 4.2264 90.00 90.00 90.00
Closest atoms and distances in Å follow each position.
Atoms (fractional coordinates):
Ge (0.5000, 0.5000, 0.5000)  12 S 2.99
S (0.0000, 0.5000, 0.0000)  2 N 2.11
S (0.0000, 0.0000, 0.5000)  2 N 2.11
S (0.5000, 0.0000, 0.0000)  2 N 2.11
N (0.0000, 0.0000, 0.0000)  6 S 2.11

Results
Size of the total moment, Bohr magnetons per cell: 0.453
Mass density, kg/m3: 4022

***

No. 2
An optimized crystal structure of GeS2N. Source: Alexandria, functional PBE.

Lattice parameters (Å, degrees): 4.2890 4.2890 4.2890 60.00 60.00 60.00
Closest atoms and distances in Å follow each position.
Atoms (fractional coordinates):
Ge (0.5000, 0.5000, 0.5000)  8 S 2.63
S (0.2500, 0.2500, 0.2500)  4 Ge 2.63, 4 N 2.63
S (0.7500, 0.7500, 0.7500)  4 Ge 2.63, 4 N 2.63
N (0.0000, 0.0000, 0.0000)  8 S 2.63

Results
Size of the total moment, Bohr magnetons per cell: 0.000
Mass density, kg/m3: 4488

***

Looking at energy for the records above, in order, we have -4.050 -3.792 eV per atom.
Looking at raw formation energy for the records above, in order, we have 1.015 1.507 eV/atom.